# 1
Density functional theory data (PBE-GGA) for a relaxed ZnIrRh4 crystal.

abc: 3.8368 5.4575 8.5763
angles: 108.54 90.00 90.00
Last column: nearest neighbours and their distance in Å.
Positions (direct):
Rh (0.9999, 0.0816, 0.6636)  7 Rh 2.66-2.73, 4 Zn 2.70, 1 Ir 2.74
Rh (0.5000, 0.5835, 0.1668)  1 Zn 2.71, 7 Rh 2.71-2.73, 4 Ir 2.72
Rh (0.0001, 0.9184, 0.3364)  7 Rh 2.66-2.73, 4 Zn 2.70, 1 Ir 2.74
Rh (0.5000, 0.0835, 0.1668)  1 Zn 2.71, 7 Rh 2.71-2.73, 4 Ir 2.72
Rh (0.0000, 0.5816, 0.6636)  7 Rh 2.66-2.73, 4 Zn 2.70, 1 Ir 2.74
Rh (0.5000, 0.9165, 0.8332)  1 Zn 2.71, 7 Rh 2.71-2.73, 4 Ir 2.72
Rh (0.0000, 0.4184, 0.3364)  7 Rh 2.66-2.73, 4 Zn 2.70, 1 Ir 2.74
Rh (0.5000, 0.4165, 0.8332)  1 Zn 2.71, 7 Rh 2.71-2.73, 4 Ir 2.72
Zn (0.5000, 0.2500, 0.5000)  10 Rh 2.70-2.71, 2 Zn 2.73
Zn (0.5000, 0.7500, 0.5000)  10 Rh 2.70-2.71, 2 Zn 2.73
Ir (0.0000, 0.7500, 0.0000)  10 Rh 2.72-2.74, 2 Ir 2.73
Ir (0.0000, 0.2500, 0.0000)  10 Rh 2.72-2.74, 2 Ir 2.73

Properties
As for the calculated density: 13.05 g/cm3. The spin magnetization is 0.000 μB/f.u. For the energy relative to the lowest polymorph listed for this composition, the calculation gives 0.00 eV/f.u. The calculation puts the calculated formation energy at -0.079 eV/atom. The volume is 170 Å³/cell. Its space group is Pmmm.

=====

# 2
Density functional theory data (PBE-GGA) for a relaxed ZnIrRh crystal.

abc: 7.1205 6.8538 2.7319
angles: 84.27 73.28 22.44
Last column: nearest neighbours and their distance in Å.
Positions (direct):
Rh (0.3307, 0.3307, 0.6693)  2 Zn 2.58, 2 Ir 2.67, 6 Rh 2.73
Zn (0.6676, 0.6676, 0.3324)  2 Rh 2.58, 2 Ir 2.61, 6 Zn 2.73
Ir (0.0017, 0.0017, 0.9983)  2 Zn 2.61, 2 Rh 2.67, 6 Ir 2.73

Properties
As for the calculated density: 13.78 g/cm3. The spin magnetization is 0.000 μB/f.u. For the energy relative to the lowest polymorph listed for this composition, the calculation gives 0.36 eV/f.u. The calculation puts the calculated formation energy at -0.004 eV/atom. The volume is 43 Å³/cell. Its space group is Fmm2.

=====

# 3
Density functional theory data (PBE-GGA) for a relaxed Zn5IrRh crystal.

abc: 4.2331 4.2331 6.0086
angles: 90.00 90.00 90.00
Last column: nearest neighbours and their distance in Å.
Positions (direct):
Zn (0.0000, 0.5000, 0.2320)  2 Rh 2.53, 3 Zn 2.66-2.79, 2 Ir 2.66
Zn (0.5000, 0.5000, 0.5000)  8 Zn 2.66
Zn (0.5000, 0.0000, 0.7680)  2 Rh 2.53, 2 Ir 2.66, 3 Zn 2.66-2.79
Zn (0.5000, 0.0000, 0.2320)  2 Rh 2.53, 2 Ir 2.66, 3 Zn 2.66-2.79
Zn (0.0000, 0.5000, 0.7680)  2 Rh 2.53, 3 Zn 2.66-2.79, 2 Ir 2.66
Rh (0.5000, 0.5000, 0.0000)  8 Zn 2.53
Ir (0.0000, 0.0000, 0.5000)  8 Zn 2.66

Properties
As for the calculated density: 9.60 g/cm3. The spin magnetization is 0.000 μB/f.u. For the energy relative to the lowest polymorph listed for this composition, the calculation gives 0.00 eV/f.u. The calculation puts the calculated formation energy at -0.137 eV/atom. The volume is 108 Å³/cell. Its space group is P4/mmm.

=====

# 4
Density functional theory data (PBE-GGA) for a relaxed ZnIrRh crystal.

abc: 4.1556 4.1556 4.1556
angles: 60.00 60.00 60.00
Last column: nearest neighbours and their distance in Å.
Positions (direct):
Rh (0.7500, 0.7500, 0.7500)  4 Ir 2.54, 4 Zn 2.54
Ir (0.5000, 0.5000, 0.5000)  4 Rh 2.54
Zn (0.0000, 0.0000, 0.0000)  4 Rh 2.54

Properties
As for the calculated density: 11.80 g/cm3. The spin magnetization is 0.001 μB/f.u. For the energy relative to the lowest polymorph listed for this composition, the calculation gives 1.28 eV/f.u. The calculation puts the calculated formation energy at 0.303 eV/atom. The volume is 51 Å³/cell. Its space group is F-43m.

=====

# 5
Density functional theory data (PBE-GGA) for a relaxed ZnIrRh2 crystal.

abc: 8.8307 8.8307 8.8307
angles: 17.93 17.93 17.93
Last column: nearest neighbours and their distance in Å.
Positions (direct):
Ir (0.7503, 0.7503, 0.7503)  3 Zn 2.70, 3 Rh 2.70, 6 Ir 2.75
Rh (0.2491, 0.2491, 0.2491)  3 Zn 2.66, 9 Rh 2.71-2.75
Rh (0.9999, 0.9999, 0.9999)  3 Ir 2.70, 9 Rh 2.71-2.75
Zn (0.5007, 0.5007, 0.5007)  3 Rh 2.66, 3 Ir 2.70, 6 Zn 2.75

Properties
As for the calculated density: 13.50 g/cm3. The spin magnetization is 0.000 μB/f.u. The calculation puts the calculated formation energy at -0.055 eV/atom. The volume is 57 Å³/cell. Its space group is R3m.

=====

# 6
Density functional theory data (PBE-GGA) for a relaxed ZnIrRh2 crystal.

abc: 4.6841 4.6841 4.6841
angles: 131.45 131.45 71.10
Last column: nearest neighbours and their distance in Å.
Positions (direct):
Ir (0.7500, 0.2500, 0.5000)  8 Rh 2.71, 4 Zn 2.72
Zn (0.2500, 0.7500, 0.5000)  8 Rh 2.71, 4 Ir 2.72
Rh (0.0000, 0.0000, 0.0000)  4 Ir 2.71, 4 Zn 2.71, 4 Rh 2.72
Rh (0.5000, 0.5000, 0.0000)  4 Ir 2.71, 4 Zn 2.71, 4 Rh 2.72

Properties
As for the calculated density: 13.61 g/cm3. The spin magnetization is 0.000 μB/f.u. The calculation puts the calculated formation energy at -0.146 eV/atom. The volume is 57 Å³/cell. Its space group is I4/mmm.